# TlV2Se3

A relaxed TlV2Se3 crystal (PBE-GGA, Alexandria).

Lattice parameters (Å, degrees): 3.5312 8.1686 9.5738 90.00 90.00 102.48
Each line ends with the local moment (μB).
Sites, in units of the cell vectors:
V 0.4672 0.9343 0.7500  1.11
Se 0.3846 0.7693 0.9587  -0.01
Se 0.0713 0.1426 0.7500  -0.02
Tl 0.2360 0.4720 0.2500  0.00
V 0.0000 0.0000 0.0000  -1.11
Se 0.3846 0.7693 0.5413  -0.01
Tl 0.7640 0.5280 0.7500  0.00
Se 0.9287 0.8574 0.2500  -0.02
V 0.5328 0.0657 0.2500  1.11
Se 0.6154 0.2307 0.4587  -0.01
V 0.0000 0.0000 0.5000  -1.11
Se 0.6154 0.2307 0.0413  -0.01

Properties
DOS(E_F) = 5.6 states/eV/cell
uncorrected formation energy = -0.581 eV per atom
DFT total energy = -5.7569 eV/atom
magnetization = 0.030 μB/cell